Record 1
An optimized crystal structure of RbTe8As6. Source: Alexandria via LeMat-Bulk, functional GGA-PBE.

Structure (POSCAR):
```
RbTe8As6
1.0
6.2403 3.6028 4.5787
-6.2403 3.6028 4.5787
0.0000 -7.2057 4.5787
Rb Te As
1 8 6
Cartesian
0.0000 0.0000 0.0000
-4.0075 -0.2520 5.5066
-1.7855 -3.5966 8.2294
0.0000 0.0000 4.1058
2.2220 -3.3446 5.5066
-2.2220 3.3446 8.2294
0.0000 0.0000 9.6303
1.7855 3.5966 5.5066
4.0075 0.2520 8.2294
-1.7005 -1.4849 5.6682
-2.1362 0.7302 8.0679
-0.4357 2.2151 5.6682
0.4357 -2.2151 8.0679
2.1362 -0.7302 5.6682
1.7005 1.4849 8.0679
```

The value obtained for the uncorrected formation energy is 0.032 eV/atom.

***

Record 2
An optimized crystal structure of MgCdPb2. Source: Alexandria via LeMat-Bulk, functional GGA-PBE.

Structure (POSCAR):
```
MgCdPb2
1.0
2.3728 1.3699 6.0973
-2.3728 1.3699 6.0973
0.0000 -2.7399 6.0973
Mg Cd Pb
1 1 2
Cartesian
0.0000 0.0000 0.0000
0.0000 0.0000 15.1205
0.0000 0.0000 4.3867
0.0000 0.0000 7.6360
```

The formation energy is 0.09 eV per atom. The value obtained for the energy above the most stable polymorph in this dataset is 117 meV/atom.

***

Theoretical density, respectively: 4183, 7696 kg/m3.